[1]
The following is a DFT calculation (PBE+U) of crystalline NiOF at its relaxed geometry.

a b c (Å): 6.5688 3.6786 5.3548
angles (deg): 90.00 90.00 90.00
Space group Pnma (No. 62)
Asymmetric unit:
Ni  0.2025  0.2500  0.2197
O  0.0260  0.7500  0.5452
F  0.1400  0.7500  0.0540

Output
The value obtained for the total DFT energy (no corrections) is -12.38 eV/f.u.

[2]
The following is a DFT calculation (PBE+U) of crystalline Ni2O2F at its relaxed geometry.

a b c (Å): 6.5882 2.9237 5.6917
angles (deg): 90.00 100.55 90.00
Space group C2/m (No. 12)
Asymmetric unit:
Ni  0.1204  0.0000  0.2937
O  0.1724  0.0000  0.6528
F  0.0000  0.5000  0.0000

Output
The value obtained for the total DFT energy (no corrections) is -21.43 eV/f.u.

[3]
The following is a DFT calculation (PBE+U) of crystalline Ni6OF11 at its relaxed geometry.

a b c (Å): 4.7142 3.1028 14.0733
angles (deg): 90.00 90.50 90.00
Space group Pm (No. 6)
Asymmetric unit:
Ni  0.0000  0.0000  0.0000
Ni  0.0081  0.0000  0.3353
Ni  0.4826  0.5000  0.4955
Ni  0.4945  0.5000  0.8330
Ni  0.5041  0.5000  0.1670
Ni  0.9900  0.0000  0.6660
O  0.2992  0.0000  0.4331
F  0.1868  0.5000  0.6003
F  0.1910  0.5000  0.9335
F  0.1937  0.5000  0.2654
F  0.2981  0.0000  0.7669
F  0.3112  0.0000  0.0998
F  0.6876  0.0000  0.5639
F  0.6904  0.0000  0.8996
F  0.6970  0.0000  0.2347
F  0.7974  0.5000  0.7322
F  0.8001  0.5000  0.3979
F  0.8094  0.5000  0.0672

Output
The value obtained for the total DFT energy (no corrections) is -77.02 eV/f.u.

[4]
The following is a DFT calculation (PBE+U) of crystalline Ni2O2F at its relaxed geometry.

a b c (Å): 5.8270 5.8270 2.8468
angles (deg): 90.00 90.00 90.00
Space group P4/mbm (No. 127)
Asymmetric unit:
Ni  0.1951  0.3049  0.0000
O  0.1342  0.6342  0.5000
F  0.0000  0.0000  0.0000

Output
The value obtained for the total DFT energy (no corrections) is -20.62 eV/f.u.

[5]
The following is a DFT calculation (PBE+U) of crystalline NiOF at its relaxed geometry.

a b c (Å): 2.9218 2.9218 3.8922
angles (deg): 90.00 90.00 90.00
Space group P4/mmm (No. 123)
Asymmetric unit:
Ni  0.0000  0.0000  0.0000
O  0.5000  0.5000  0.0000
F  0.0000  0.0000  0.5000

Output
The value obtained for the total DFT energy (no corrections) is -12.37 eV/f.u.

[6]
The following is a DFT calculation (PBE+U) of crystalline Ni2O2F at its relaxed geometry.

a b c (Å): 3.7943 3.7943 9.8366
angles (deg): 90.00 90.00 90.00
Space group I4/mmm (No. 139)
Asymmetric unit:
Ni  0.0000  0.0000  0.1958
O  0.0000  0.5000  0.2500
F  0.0000  0.0000  0.0000

Output
The value obtained for the total DFT energy (no corrections) is -22.40 eV/f.u.

[7]
The following is a DFT calculation (PBE+U) of crystalline NiOsO2F at its relaxed geometry.

a b c (Å): 3.6562 3.6562 5.7877
angles (deg): 90.00 90.00 90.00
Space group P4/mmm (No. 123)
Asymmetric unit:
Ni  0.0000  0.0000  0.0000
Os  0.5000  0.5000  0.5000
O  0.0000  0.5000  0.5000
F  0.5000  0.5000  0.0000

Output
The value obtained for the total DFT energy (no corrections) is -28.10 eV/f.u.

[8]
The following is a DFT calculation (PBE+U) of crystalline NiOsOF2 at its relaxed geometry.

a b c (Å): 4.3592 4.3592 3.6982
angles (deg): 90.00 90.00 90.00
Space group P4/mmm (No. 123)
Asymmetric unit:
Ni  0.0000  0.0000  0.0000
Os  0.5000  0.5000  0.5000
O  0.5000  0.5000  0.0000
F  0.0000  0.5000  0.5000

Output
The value obtained for the total DFT energy (no corrections) is -23.61 eV/f.u.

[9]
The following is a DFT calculation (PBE+U) of crystalline NiOsO2F at its relaxed geometry.

a b c (Å): 3.8897 3.8897 3.7820
angles (deg): 90.00 90.00 90.00
Space group P4/mmm (No. 123)
Asymmetric unit:
Ni  0.0000  0.0000  0.0000
Os  0.5000  0.5000  0.5000
O  0.0000  0.5000  0.0000
F  0.0000  0.0000  0.5000

Output
The value obtained for the total DFT energy (no corrections) is -24.57 eV/f.u.

[10]
The following is a DFT calculation (PBE+U) of crystalline NiOsOF2 at its relaxed geometry.

a b c (Å): 3.8195 3.8195 4.2215
angles (deg): 90.00 90.00 90.00
Space group P4/mmm (No. 123)
Asymmetric unit:
Ni  0.0000  0.0000  0.0000
Os  0.5000  0.5000  0.5000
O  0.0000  0.0000  0.5000
F  0.0000  0.5000  0.0000

Output
The value obtained for the total DFT energy (no corrections) is -23.13 eV/f.u.

[11]
The following is a DFT calculation (PBE+U) of crystalline NiP2OF at its relaxed geometry.

a b c (Å): 4.3916 4.3916 3.6473
angles (deg): 90.00 90.00 90.00
Space group P4/mmm (No. 123)
Asymmetric unit:
Ni  0.0000  0.0000  0.0000
P  0.0000  0.5000  0.0000
O  0.0000  0.0000  0.5000
F  0.5000  0.5000  0.5000

Output
The value obtained for the total DFT energy (no corrections) is -18.00 eV/f.u.

[12]
The following is a DFT calculation (PBE+U) of crystalline NiP2OF at its relaxed geometry.

a b c (Å): 4.0154 4.0154 4.1181
angles (deg): 90.00 90.00 90.00
Space group P4/mmm (No. 123)
Asymmetric unit:
Ni  0.0000  0.0000  0.0000
P  0.0000  0.5000  0.5000
O  0.5000  0.5000  0.0000
F  0.5000  0.5000  0.5000

Output
The value obtained for the total DFT energy (no corrections) is -14.49 eV/f.u.

[13]
The following is a DFT calculation (PBE+U) of crystalline NiPO4F at its relaxed geometry.

a b c (Å): 5.2888 5.3104 7.2439
angles (deg): 106.99 106.21 96.68
Space group P-1 (No. 2)
Asymmetric unit:
Ni  0.0000  0.0000  0.0000
Ni  0.0000  0.0000  0.5000
P  0.3259  0.6595  0.2603
O  0.1289  0.6933  0.3864
O  0.2718  0.3618  0.1277
O  0.2847  0.8134  0.1071
O  0.3866  0.2509  0.5888
F  0.0998  0.9352  0.7468

Output
The value obtained for the total DFT energy (no corrections) is -39.56 eV/f.u.

[14]
The following is a DFT calculation (PBE+U) of crystalline NiPbOF2 at its relaxed geometry.

a b c (Å): 4.5593 4.5593 4.2846
angles (deg): 90.00 90.00 90.00
Space group P4/mmm (No. 123)
Asymmetric unit:
Ni  0.0000  0.0000  0.0000
Pb  0.5000  0.5000  0.5000
O  0.5000  0.5000  0.0000
F  0.0000  0.5000  0.5000

Output
The value obtained for the total DFT energy (no corrections) is -19.34 eV/f.u.

[15]
The following is a DFT calculation (PBE+U) of crystalline NiPbO2F at its relaxed geometry.

a b c (Å): 4.3697 4.3697 4.5177
angles (deg): 90.00 90.00 90.00
Space group P4/mmm (No. 123)
Asymmetric unit:
Ni  0.0000  0.0000  0.0000
Pb  0.5000  0.5000  0.5000
O  0.0000  0.5000  0.5000
F  0.5000  0.5000  0.0000

Output
The value obtained for the total DFT energy (no corrections) is -20.15 eV/f.u.

[16]
The following is a DFT calculation (PBE+U) of crystalline NiPbO2F at its relaxed geometry.

a b c (Å): 4.0144 4.0144 4.1322
angles (deg): 90.00 90.00 90.00
Space group P4/mmm (No. 123)
Asymmetric unit:
Ni  0.0000  0.0000  0.0000
Pb  0.5000  0.5000  0.5000
O  0.0000  0.5000  0.0000
F  0.0000  0.0000  0.5000

Output
The value obtained for the total DFT energy (no corrections) is -23.72 eV/f.u.

[17]
The following is a DFT calculation (PBE+U) of crystalline NiPdO2F at its relaxed geometry.

a b c (Å): 3.8595 3.8595 3.7152
angles (deg): 90.00 90.00 90.00
Space group P4/mmm (No. 123)
Asymmetric unit:
Ni  0.0000  0.0000  0.0000
Pd  0.5000  0.5000  0.5000
O  0.0000  0.5000  0.0000
F  0.0000  0.0000  0.5000

Output
The value obtained for the total DFT energy (no corrections) is -20.99 eV/f.u.

[18]
The following is a DFT calculation (PBE+U) of crystalline NiPdO2F at its relaxed geometry.

a b c (Å): 4.0092 4.0092 3.9841
angles (deg): 90.00 90.00 90.00
Space group P4/mmm (No. 123)
Asymmetric unit:
Ni  0.0000  0.0000  0.0000
Pd  0.5000  0.5000  0.5000
O  0.0000  0.5000  0.5000
F  0.5000  0.5000  0.0000

Output
The value obtained for the total DFT energy (no corrections) is -19.72 eV/f.u.

[19]
The following is a DFT calculation (PBE+U) of crystalline NiPtO2F at its relaxed geometry.

a b c (Å): 3.9069 3.9069 3.6525
angles (deg): 90.00 90.00 90.00
Space group P4/mmm (No. 123)
Asymmetric unit:
Ni  0.0000  0.0000  0.0000
Pt  0.5000  0.5000  0.5000
O  0.0000  0.5000  0.0000
F  0.0000  0.0000  0.5000

Output
The value obtained for the total DFT energy (no corrections) is -20.64 eV/f.u.

[20]
The following is a DFT calculation (PBE+U) of crystalline NiPtO2F at its relaxed geometry.

a b c (Å): 3.9646 3.9646 4.2677
angles (deg): 90.00 90.00 90.00
Space group P4/mmm (No. 123)
Asymmetric unit:
Ni  0.0000  0.0000  0.0000
Pt  0.5000  0.5000  0.5000
O  0.0000  0.5000  0.5000
F  0.5000  0.5000  0.0000

Output
The value obtained for the total DFT energy (no corrections) is -20.05 eV/f.u.

[21]
The following is a DFT calculation (PBE+U) of crystalline NiPtOF2 at its relaxed geometry.

a b c (Å): 4.3850 4.3850 3.8016
angles (deg): 90.00 90.00 90.00
Space group P4/mmm (No. 123)
Asymmetric unit:
Ni  0.0000  0.0000  0.0000
Pt  0.5000  0.5000  0.5000
O  0.5000  0.5000  0.0000
F  0.0000  0.5000  0.5000

Output
The value obtained for the total DFT energy (no corrections) is -18.89 eV/f.u.

[22]
The following is a DFT calculation (PBE+U) of crystalline NiPtOF2 at its relaxed geometry.

a b c (Å): 3.7644 3.7644 4.3140
angles (deg): 90.00 90.00 90.00
Space group P4/mmm (No. 123)
Asymmetric unit:
Ni  0.0000  0.0000  0.0000
Pt  0.5000  0.5000  0.5000
O  0.0000  0.0000  0.5000
F  0.0000  0.5000  0.0000

Output
The value obtained for the total DFT energy (no corrections) is -19.66 eV/f.u.

[23]
The following is a DFT calculation (PBE+U) of crystalline Rb2NiOF6 at its relaxed geometry.

a b c (Å): 5.9220 5.9220 8.7581
angles (deg): 90.00 90.00 90.00
Space group I4/mmm (No. 139)
Asymmetric unit:
Rb  0.0000  0.5000  0.2500
Ni  0.0000  0.0000  0.0000
O  0.0000  0.0000  0.5000
F  0.0000  0.0000  0.2066
F  0.2279  0.2279  0.0000

Output
The value obtained for the total DFT energy (no corrections) is -37.23 eV/f.u.

[24]
The following is a DFT calculation (PBE+U) of crystalline NiRhOF2 at its relaxed geometry.

a b c (Å): 3.8788 3.8788 4.0010
angles (deg): 90.00 90.00 90.00
Space group P4/mmm (No. 123)
Asymmetric unit:
Ni  0.0000  0.0000  0.0000
Rh  0.5000  0.5000  0.5000
O  0.0000  0.0000  0.5000
F  0.0000  0.5000  0.0000

Output
The value obtained for the total DFT energy (no corrections) is -21.74 eV/f.u.

[25]
The following is a DFT calculation (PBE+U) of crystalline NiRhOF2 at its relaxed geometry.

a b c (Å): 4.3083 4.3083 3.7262
angles (deg): 90.00 90.00 90.00
Space group P4/mmm (No. 123)
Asymmetric unit:
Ni  0.0000  0.0000  0.0000
Rh  0.5000  0.5000  0.5000
O  0.5000  0.5000  0.0000
F  0.0000  0.5000  0.5000

Output
The value obtained for the total DFT energy (no corrections) is -21.46 eV/f.u.

[26]
The following is a DFT calculation (PBE+U) of crystalline NiRuO2F at its relaxed geometry.

a b c (Å): 3.8533 3.8533 3.8104
angles (deg): 90.00 90.00 90.00
Space group P4/mmm (No. 123)
Asymmetric unit:
Ni  0.0000  0.0000  0.0000
Ru  0.5000  0.5000  0.5000
O  0.0000  0.5000  0.0000
F  0.0000  0.0000  0.5000

Output
The value obtained for the total DFT energy (no corrections) is -24.70 eV/f.u.

[27]
The following is a DFT calculation (PBE+U) of crystalline NiRuOF2 at its relaxed geometry.

a b c (Å): 3.8680 3.8680 4.0636
angles (deg): 90.00 90.00 90.00
Space group P4/mmm (No. 123)
Asymmetric unit:
Ni  0.0000  0.0000  0.0000
Ru  0.5000  0.5000  0.5000
O  0.0000  0.0000  0.5000
F  0.0000  0.5000  0.0000

Output
The value obtained for the total DFT energy (no corrections) is -23.52 eV/f.u.